Record 1
# TaSiTc (GGA-PBE, relaxed)
# E_tot (eV/atom): -8.852
data_TaSiTc
_cell_length_a 6.0438
_cell_length_b 6.0438
_cell_length_c 6.0438
_cell_angle_alpha 90.00
_cell_angle_beta 90.00
_cell_angle_gamma 90.00
_symmetry_space_group_name_H-M 'F -4 3 m'
_symmetry_Int_Tables_number 216
_symmetry_space_group_name_Hall 'F -4 2 3'
loop_
_atom_site_label
_atom_site_type_symbol
_atom_site_fract_x
_atom_site_fract_y
_atom_site_fract_z
Ta1 Ta 0.0000 0.0000 0.0000
Si1 Si 0.2500 0.2500 0.7500
Tc1 Tc 0.2500 0.2500 0.2500

***

Record 2
# TaSi2Te2 (GGA-PBE, relaxed)
# E_tot (eV/atom): -5.529
data_TaSi2Te2
_cell_length_a 3.4574
_cell_length_b 3.4574
_cell_length_c 18.2738
_cell_angle_alpha 90.00
_cell_angle_beta 90.00
_cell_angle_gamma 90.00
_symmetry_space_group_name_H-M 'I 4/m m m'
_symmetry_Int_Tables_number 139
_symmetry_space_group_name_Hall '-I 4 2'
loop_
_atom_site_label
_atom_site_type_symbol
_atom_site_fract_x
_atom_site_fract_y
_atom_site_fract_z
Ta1 Ta 0.0000 0.0000 0.0000
Si1 Si 0.0000 0.5000 0.2500
Te1 Te 0.0000 0.0000 0.4103

***

Record 3
# Ta3SiTe6 (GGA-PBE, relaxed)
# E_tot (eV/atom): -6.374
data_Ta3SiTe6
_cell_length_a 6.4098
_cell_length_b 14.7210
_cell_length_c 11.5674
_cell_angle_alpha 90.00
_cell_angle_beta 90.00
_cell_angle_gamma 90.00
_symmetry_space_group_name_H-M 'P n m a'
_symmetry_Int_Tables_number 62
loop_
_symmetry_equiv_pos_as_xyz
'x,y,z'
'-x,-y,-z'
'-x+1/2,-y,z+1/2'
'x+1/2,y,-z+1/2'
'x+1/2,-y+1/2,-z+1/2'
'-x+1/2,y+1/2,z+1/2'
'-x,y+1/2,-z'
'x,-y+1/2,z'
loop_
_atom_site_label
_atom_site_type_symbol
_atom_site_fract_x
_atom_site_fract_y
_atom_site_fract_z
Ta1 Ta 0.0322 0.2500 0.1878
Ta2 Ta 0.1672 0.7500 0.3354
Ta3 Ta 0.1970 0.7500 0.0330
Si1 Si 0.0749 0.7500 0.5751
Te1 Te 0.1451 0.1257 0.9972
Te2 Te 0.1507 0.1198 0.6822
Te3 Te 0.2044 0.1221 0.3437

***

Record 4
# ThTaSi (GGA-PBE, relaxed)
# E_tot (eV/atom): -8.072
data_ThTaSi
_cell_length_a 6.5831
_cell_length_b 6.5831
_cell_length_c 6.5831
_cell_angle_alpha 90.00
_cell_angle_beta 90.00
_cell_angle_gamma 90.00
_symmetry_space_group_name_H-M 'F -4 3 m'
_symmetry_Int_Tables_number 216
_symmetry_space_group_name_Hall 'F -4 2 3'
loop_
_atom_site_label
_atom_site_type_symbol
_atom_site_fract_x
_atom_site_fract_y
_atom_site_fract_z
Th1 Th 0.0000 0.0000 0.0000
Ta1 Ta 0.0000 0.0000 0.5000
Si1 Si 0.2500 0.2500 0.7500

***

Record 5
# Ta3TlSi5 (GGA-PBE, relaxed)
# E_tot (eV/atom): -7.157
data_Ta3TlSi5
_cell_length_a 5.6496
_cell_length_b 5.6496
_cell_length_c 6.4281
_cell_angle_alpha 90.00
_cell_angle_beta 90.00
_cell_angle_gamma 120.00
_symmetry_space_group_name_H-M 'P 6/m m m'
_symmetry_Int_Tables_number 191
_symmetry_space_group_name_Hall '-P 6 2'
loop_
_atom_site_label
_atom_site_type_symbol
_atom_site_fract_x
_atom_site_fract_y
_atom_site_fract_z
Ta1 Ta 0.0000 0.5000 0.0000
Tl1 Tl 0.0000 0.0000 0.5000
Si1 Si 0.0000 0.0000 0.0000
Si2 Si 0.3333 0.6667 0.3182

***

Record 6
# TaTlSi (GGA-PBE, relaxed)
# E_tot (eV/atom): -5.750
data_TaTlSi
_cell_length_a 6.3048
_cell_length_b 6.3048
_cell_length_c 6.3048
_cell_angle_alpha 90.00
_cell_angle_beta 90.00
_cell_angle_gamma 90.00
_symmetry_space_group_name_H-M 'F -4 3 m'
_symmetry_Int_Tables_number 216
_symmetry_space_group_name_Hall 'F -4 2 3'
loop_
_atom_site_label
_atom_site_type_symbol
_atom_site_fract_x
_atom_site_fract_y
_atom_site_fract_z
Ta1 Ta 0.0000 0.0000 0.0000
Tl1 Tl 0.0000 0.0000 0.5000
Si1 Si 0.2500 0.2500 0.2500

***

Record 7
# TmTaSi (GGA-PBE, relaxed)
# E_tot (eV/atom): -7.235
data_TmTaSi
_cell_length_a 6.3424
_cell_length_b 6.3424
_cell_length_c 6.3424
_cell_angle_alpha 90.00
_cell_angle_beta 90.00
_cell_angle_gamma 90.00
_symmetry_space_group_name_H-M 'F -4 3 m'
_symmetry_Int_Tables_number 216
_symmetry_space_group_name_Hall 'F -4 2 3'
loop_
_atom_site_label
_atom_site_type_symbol
_atom_site_fract_x
_atom_site_fract_y
_atom_site_fract_z
Tm1 Tm 0.0000 0.0000 0.0000
Ta1 Ta 0.0000 0.0000 0.5000
Si1 Si 0.2500 0.2500 0.7500

***

Record 8
# TmTaSi (GGA-PBE, relaxed)
# E_tot (eV/atom): -6.109
data_TmTaSi
_cell_length_a 6.6802
_cell_length_b 6.6802
_cell_length_c 6.6802
_cell_angle_alpha 90.00
_cell_angle_beta 90.00
_cell_angle_gamma 90.00
_symmetry_space_group_name_H-M 'F -4 3 m'
_symmetry_Int_Tables_number 216
_symmetry_space_group_name_Hall 'F -4 2 3'
loop_
_atom_site_label
_atom_site_type_symbol
_atom_site_fract_x
_atom_site_fract_y
_atom_site_fract_z
Tm1 Tm 0.0000 0.0000 0.0000
Ta1 Ta 0.2500 0.2500 0.2500
Si1 Si 0.2500 0.2500 0.7500

***

Record 9
# YTmTa2Si2 (GGA-PBE, relaxed)
# E_tot (eV/atom): -8.193
data_YTmTa2Si2
_cell_length_a 3.9929
_cell_length_b 3.9929
_cell_length_c 7.7031
_cell_angle_alpha 90.00
_cell_angle_beta 90.00
_cell_angle_gamma 90.00
_symmetry_space_group_name_H-M 'P 4 m m'
_symmetry_Int_Tables_number 99
loop_
_symmetry_equiv_pos_as_xyz
'x,y,z'
'-y,x,z'
'-x,-y,z'
'y,-x,z'
'-x,y,z'
'y,x,z'
'x,-y,z'
'-y,-x,z'
loop_
_atom_site_label
_atom_site_type_symbol
_atom_site_fract_x
_atom_site_fract_y
_atom_site_fract_z
Y1 Y 0.0000 0.0000 0.0000
Tm1 Tm 0.5000 0.5000 0.7054
Ta1 Ta 0.0000 0.5000 0.3559
Si1 Si 0.0000 0.0000 0.5975
Si2 Si 0.5000 0.5000 0.1144

***

Record 10
# Ta2SiW (GGA-PBE, relaxed)
# E_tot (eV/atom): -10.449
data_Ta2SiW
_cell_length_a 6.3816
_cell_length_b 6.3816
_cell_length_c 6.3816
_cell_angle_alpha 90.00
_cell_angle_beta 90.00
_cell_angle_gamma 90.00
_symmetry_space_group_name_H-M 'F -4 3 m'
_symmetry_Int_Tables_number 216
_symmetry_space_group_name_Hall 'F -4 2 3'
loop_
_atom_site_label
_atom_site_type_symbol
_atom_site_fract_x
_atom_site_fract_y
_atom_site_fract_z
Ta1 Ta 0.0000 0.0000 0.0000
Ta2 Ta 0.2500 0.2500 0.2500
Si1 Si 0.0000 0.0000 0.5000
W1 W 0.2500 0.2500 0.7500

***

Record 11
# Ta2Si2W (GGA-PBE, relaxed)
# E_tot (eV/atom): -9.162
data_Ta2Si2W
_cell_length_a 3.8502
_cell_length_b 3.8502
_cell_length_c 11.2343
_cell_angle_alpha 90.00
_cell_angle_beta 90.00
_cell_angle_gamma 90.00
_symmetry_space_group_name_H-M 'I 4/m m m'
_symmetry_Int_Tables_number 139
_symmetry_space_group_name_Hall '-I 4 2'
loop_
_atom_site_label
_atom_site_type_symbol
_atom_site_fract_x
_atom_site_fract_y
_atom_site_fract_z
Ta1 Ta 0.0000 0.5000 0.2500
Si1 Si 0.0000 0.0000 0.0972
W1 W 0.0000 0.0000 0.5000

***

Record 12
# TaSi2W2 (GGA-PBE, relaxed)
# E_tot (eV/atom): -9.530
data_TaSi2W2
_cell_length_a 3.8352
_cell_length_b 3.8352
_cell_length_c 10.9203
_cell_angle_alpha 90.00
_cell_angle_beta 90.00
_cell_angle_gamma 90.00
_symmetry_space_group_name_H-M 'I 4/m m m'
_symmetry_Int_Tables_number 139
_symmetry_space_group_name_Hall '-I 4 2'
loop_
_atom_site_label
_atom_site_type_symbol
_atom_site_fract_x
_atom_site_fract_y
_atom_site_fract_z
Ta1 Ta 0.0000 0.0000 0.0000
Si1 Si 0.0000 0.0000 0.3984
W1 W 0.0000 0.5000 0.2500

***

Question: Number 8 is which compound?
Answer: TmTaSi